No. 1
A relaxed structure of Sm2Ho4Sn3O2. Source: Alexandria via LeMat-Bulk, functional GGA-PBE.

a = 4.636 Å, b = 4.636 Å, c = 13.051 Å
α = 100.23°, β = 100.23°, γ = 90.00°
Positions (direct):
O 0.594 0.594 0.188
Ho 0.918 0.418 0.835
O 0.406 0.406 0.812
Ho 0.082 0.582 0.165
Sm 0.305 0.305 0.610
Sn 0.176 0.176 0.351
Ho 0.582 0.082 0.165
Sn 0.000 0.000 0.000
Sn 0.824 0.824 0.649
Sm 0.695 0.695 0.390
Ho 0.418 0.918 0.835

Values from the calculation:
Energy relative to the elements, uncorrected = -1535 meV/atom
Calculated volume = 271.5 Å³/cell
Final energy = -0.44470 Ry/atom
Theoretical density = 8.2 Mg/m³
Crystal system = tetragonal
D(E_F) = 7.302 states/eV/cell



No. 2
A relaxed structure of Dy3AlTl3Se8. Source: Alexandria via LeMat-Bulk, functional GGA-PBE.

a = 8.201 Å, b = 8.202 Å, c = 8.999 Å
α = 117.06°, β = 90.05°, γ = 120.01°
Positions (direct):
Se 0.758 0.976 0.694
Tl 0.000 0.000 0.000
Se 0.218 0.976 0.694
Tl 0.000 0.500 0.000
Se 0.264 0.528 0.291
Dy 0.500 0.500 0.500
Se 0.736 0.472 0.709
Se 0.218 0.436 0.694
Dy 0.500 0.000 0.500
Se 0.242 0.024 0.306
Dy 0.000 0.500 0.500
Tl 0.500 0.500 0.000
Se 0.782 0.564 0.306
Al 0.000 0.000 0.500
Se 0.782 0.024 0.306

Values from the calculation:
Energy relative to the elements, uncorrected = -1185 meV/atom
Calculated volume = 445.8 Å³/cell
Final energy = -0.34447 Ry/atom
Theoretical density = 6.6 Mg/m³
Crystal system = monoclinic
D(E_F) = 5.580 states/eV/cell



No. 3
A relaxed structure of TlAsF2. Source: Alexandria via LeMat-Bulk, functional GGA-PBE.

a = 8.394 Å, b = 8.394 Å, c = 8.394 Å
α = 22.48°, β = 22.48°, γ = 22.48°
Positions (direct):
Tl 0.500 0.500 0.500
F 0.918 0.918 0.918
As 0.000 0.000 0.000
F 0.082 0.082 0.082

Values from the calculation:
Energy relative to the elements, uncorrected = -1283 meV/atom
Calculated volume = 75.8 Å³/cell
Final energy = -0.29199 Ry/atom
Theoretical density = 6.9 Mg/m³
Crystal system = trigonal
D(E_F) = 1.140 states/eV/cell



No. 4
A relaxed structure of Rb2Cd5In4. Source: Alexandria via LeMat-Bulk, functional GGA-PBE.

a = 6.766 Å, b = 6.473 Å, c = 9.931 Å
α = 79.74°, β = 70.08°, γ = 58.49°
Positions (direct):
Cd 0.500 0.500 0.000
Rb 0.864 0.000 0.273
In 0.218 0.303 0.261
Cd 0.250 0.500 0.500
In 0.782 0.697 0.739
Cd 0.500 0.000 0.000
Cd 0.000 0.500 0.000
In 0.521 0.697 0.261
Rb 0.136 0.000 0.727
Cd 0.750 0.500 0.500
In 0.479 0.303 0.739

Values from the calculation:
ΔH_f (0 K) = -0.3 eV/f.u.
Calculated volume = 348.6 Å³/cell
Final energy = -0.11875 Ry/atom
Theoretical density = 5.7 Mg/m³
Crystal system = orthorhombic
D(E_F) = 5.050 states/eV/cell



No. 5
A relaxed structure of Pm2EuIn. Source: Alexandria via LeMat-Bulk, functional GGA-PBE.

a = 4.888 Å, b = 5.053 Å, c = 5.053 Å
α = 90.00°, β = 90.00°, γ = 90.00°
Site moments in Bohr magnetons follow the coordinates.
Positions (direct):
Pm 0.000 0.500 0.000  0.05
Eu 0.500 0.500 0.500  6.86
Pm 0.000 0.000 0.500  0.05
In 0.500 0.000 0.000  -0.02

Values from the calculation:
ΔH_f (0 K) = -0.9 eV/f.u.
Calculated volume = 124.8 Å³/cell
Final energy = -0.43067 Ry/atom
Theoretical density = 7.4 Mg/m³
Crystal system = tetragonal
D(E_F) = 4.723 states/eV/cell



No. 6
A relaxed structure of GdPuIn2. Source: Alexandria via LeMat-Bulk, functional GGA-PBE.

a = 5.371 Å, b = 5.371 Å, c = 5.371 Å
α = 60.00°, β = 60.00°, γ = 60.00°
Site moments in Bohr magnetons follow the coordinates.
Positions (direct):
Pu 0.000 0.000 0.000  5.46
In 0.250 0.250 0.250  -0.02
Gd 0.500 0.500 0.500  7.17
In 0.750 0.750 0.750  -0.02

Values from the calculation:
ΔH_f (0 K) = -1.1 eV/f.u.
Calculated volume = 109.6 Å³/cell
Final energy = -0.64353 Ry/atom
Theoretical density = 9.6 Mg/m³
Crystal system = cubic
D(E_F) = 9.927 states/eV/cell



No. 7
A relaxed structure of Tb8NdSm3. Source: Alexandria via LeMat-Bulk, functional GGA-PBE.

a = 8.393 Å, b = 8.393 Å, c = 8.393 Å
α = 94.58°, β = 117.39°, γ = 117.39°
Positions (direct):
Tb 0.000 0.747 0.249
Tb 0.000 0.624 0.874
Tb 0.502 0.253 0.253
Tb 0.750 0.126 0.126
Nd 0.000 0.000 0.000
Tb 0.000 0.874 0.624
Sm 0.500 0.250 0.750
Sm 0.000 0.500 0.500
Tb 0.250 0.376 0.376
Sm 0.500 0.750 0.250
Tb 0.498 0.751 0.751
Tb 0.000 0.249 0.747

Values from the calculation:
ΔH_f (0 K) = 7.4 eV/f.u.
Calculated volume = 433.0 Å³/cell
Final energy = -0.29734 Ry/atom
Theoretical density = 7.2 Mg/m³
Crystal system = tetragonal
D(E_F) = 17.474 states/eV/cell



No. 8
A relaxed structure of Na3ZnS8. Source: Alexandria via LeMat-Bulk, functional GGA-PBE.

a = 6.490 Å, b = 7.174 Å, c = 8.148 Å
α = 58.96°, β = 83.36°, γ = 112.75°
Positions (direct):
S 0.176 0.000 0.492
S 0.297 0.000 0.070
Na 0.746 0.514 0.724
S 0.825 0.393 0.101
Na 0.573 0.000 0.544
S 0.945 0.000 0.683
Na 0.232 0.486 0.238
S 0.697 0.607 0.334
S 0.432 0.607 0.495
S 0.090 0.393 0.942
Zn 0.941 0.000 0.982
S 0.548 0.000 0.894

Values from the calculation:
Energy relative to the elements, uncorrected = -369 meV/atom
Calculated volume = 274.9 Å³/cell
Final energy = -0.26140 Ry/atom
Theoretical density = 2.4 Mg/m³
Crystal system = monoclinic
D(E_F) = 6.623 states/eV/cell